No. 1
PBE Cr2AgIr, relaxed; DFT total energy = -27.803 eV/f.u.; volume = 16.23 Å³/atom; Fermi-level density of states = 1.50 states/eV/atom; energy relative to the elements = 0.79 eV per atom; ρ = 10.337 g cm⁻³; crystal system = tetragonal
1.0
-0.951 -0.583 6.867
-4.821 -4.897 -1.084
-0.987 -4.632 2.994
Cr Ir Ag
4 2 2
Direct
0.663 0.125 0.250 Cr
0.087 0.625 0.250 Cr
0.375 0.337 0.750 Cr
0.875 0.913 0.750 Cr
0.000 0.000 0.000 Ir
0.750 0.250 0.500 Ir
0.500 0.500 0.000 Ag
0.250 0.750 0.500 Ag

=====

No. 2
PBE CrAgIr4, relaxed; DFT total energy = -45.246 eV/f.u.; volume = 16.44 Å³/atom; Fermi-level density of states = 1.65 states/eV/atom; energy relative to the elements = 0.45 eV per atom; ρ = 15.633 g cm⁻³; crystal system = cubic
1.0
0.000 3.667 3.667
3.667 0.000 3.667
3.667 3.667 0.000
Cr Ag Ir
1 1 4
Direct
0.000 0.000 0.000 Cr
0.250 0.250 0.250 Ag
0.625 0.625 0.124 Ir
0.625 0.124 0.625 Ir
0.625 0.625 0.625 Ir
0.124 0.625 0.625 Ir